--- P ---
{
  "formula": "La3SnBr",
  "functional": "GGA-PBE",
  "state": "relaxed",
  "spacegroup": "Pm-3m (221)",
  "n_ef_per_ev_atom": 1.58,
  "lattice_angstrom": [[-1.151, -2.746, 4.745], [-4.127, -2.757, -2.596], [3.608, -4.029, -1.457]],
  "species": ["La", "La", "Sn", "Br", "La"],
  "frac_coords": [[0.500, 0.000, 0.000], [0.000, 0.500, 0.000], [0.500, 0.500, 0.500], [0.000, 0.000, 0.000], [0.000, 0.000, 0.500]]
}

=====

--- Q ---
{
  "formula": "La3SnBr",
  "functional": "GGA-PBE",
  "state": "relaxed",
  "spacegroup": "Cmmm (65)",
  "n_ef_per_ev_atom": 0.97,
  "lattice_angstrom": [[-3.984, -0.155, -3.734], [2.081, -7.068, -1.926], [-6.054, 0.566, 6.437]],
  "species": ["Sn", "La", "Br", "Br", "Sn", "La", "La", "La", "La", "La"],
  "frac_coords": [[0.000, 0.634, 0.268], [0.000, 0.849, 0.697], [0.500, 0.107, 0.213], [0.500, 0.893, 0.787], [0.000, 0.366, 0.732], [0.500, 0.686, 0.000], [0.500, 0.314, 0.000], [0.500, 0.500, 0.500], [0.500, 0.000, 0.500], [0.000, 0.151, 0.303]]
}

=====

Ordering by calculated energy gives the sequence Q, P, with the first entry being the most stable.

=====

--- P ---
{
  "formula": "LaSn2Br2",
  "functional": "GGA-PBE",
  "state": "relaxed",
  "spacegroup": "I4/mmm (139)",
  "n_ef_per_ev_atom": 1.03,
  "lattice_angstrom": [[-0.271, 4.861, 0.712], [-4.072, 0.177, -2.755], [-5.895, 1.514, 4.418]],
  "species": ["Br", "Sn", "Sn", "Br", "La"],
  "frac_coords": [[0.750, 0.250, 0.500], [0.398, 0.398, 0.204], [0.602, 0.602, 0.796], [0.250, 0.750, 0.500], [0.000, 0.000, 0.000]]
}

=====

--- Q ---
{
  "formula": "LaSn2Br2",
  "functional": "GGA-PBE",
  "state": "relaxed",
  "spacegroup": "P4/mbm (127)",
  "n_ef_per_ev_atom": 0.50,
  "lattice_angstrom": [[8.193, 0.000, 0.000], [0.000, 8.193, 0.000], [0.000, 0.000, 5.589]],
  "species": ["Sn", "Sn", "Sn", "La", "Br", "Sn", "La", "Br", "Br", "Br"],
  "frac_coords": [[0.124, 0.376, 0.000], [0.376, 0.876, 0.000], [0.624, 0.124, 0.000], [0.000, 0.000, 0.000], [0.706, 0.206, 0.500], [0.876, 0.624, 0.000], [0.500, 0.500, 0.000], [0.206, 0.294, 0.500], [0.794, 0.706, 0.500], [0.294, 0.794, 0.500]]
}

=====

Ordering by calculated energy gives the sequence Q, P, with the first entry being the most stable.

=====

--- P ---
{
  "formula": "LaSn2Br",
  "functional": "GGA-PBE",
  "state": "relaxed",
  "spacegroup": "Fm-3m (225)",
  "n_ef_per_ev_atom": 0.53,
  "lattice_angstrom": [[3.787, -3.855, 1.227], [-1.607, -5.109, 1.420], [0.862, -4.239, -3.464]],
  "species": ["Sn", "Br", "La", "Sn"],
  "frac_coords": [[0.750, 0.750, 0.750], [0.000, 0.000, 0.000], [0.500, 0.500, 0.500], [0.250, 0.250, 0.250]]
}

=====

--- Q ---
{
  "formula": "LaSn2Br",
  "functional": "GGA-PBE",
  "state": "relaxed",
  "spacegroup": "I-42d (122)",
  "n_ef_per_ev_atom": 0.73,
  "lattice_angstrom": [[-1.402, -4.924, -8.990], [-4.065, -8.063, 5.050], [-5.300, -5.343, -2.199]],
  "species": ["Br", "La", "Sn", "La", "Sn", "Br", "Sn", "Sn"],
  "frac_coords": [[0.500, 0.500, 0.000], [0.750, 0.250, 0.500], [0.069, 0.625, 0.250], [0.000, 0.000, 0.000], [0.375, 0.319, 0.750], [0.250, 0.750, 0.500], [0.681, 0.125, 0.250], [0.875, 0.931, 0.750]]
}

=====

Ordering by calculated energy gives the sequence Q, P, with the first entry being the most stable.

=====

--- P ---
{
  "formula": "Sr3LaBr",
  "functional": "GGA-PBE",
  "state": "relaxed",
  "spacegroup": "Pm-3m (221)",
  "n_ef_per_ev_atom": 1.93,
  "lattice_angstrom": [[-5.117, 3.344, 0.440], [-1.338, -1.279, -5.842], [-3.096, -4.974, 1.798]],
  "species": ["Br", "Sr", "Sr", "Sr", "La"],
  "frac_coords": [[0.000, 0.000, 0.000], [0.000, 0.500, 0.000], [0.500, 0.000, 0.000], [0.000, 0.000, 0.500], [0.500, 0.500, 0.500]]
}

=====

--- Q ---
{
  "formula": "Sr3LaBr",
  "functional": "GGA-PBE",
  "state": "relaxed",
  "spacegroup": "Pm-3m (221)",
  "n_ef_per_ev_atom": 0.84,
  "lattice_angstrom": [[-3.345, -4.410, 3.943], [5.909, -2.715, 1.976], [0.293, 4.401, 5.171]],
  "species": ["La", "Sr", "Sr", "Sr", "Br"],
  "frac_coords": [[0.000, 0.000, 0.000], [0.000, 0.500, 0.000], [0.500, 0.000, 0.000], [0.000, 0.000, 0.500], [0.500, 0.500, 0.500]]
}

=====

Ordering by calculated energy gives the sequence P, Q, with the first entry being the most stable.

=====

--- P ---
{
  "formula": "SrLaBr2",
  "functional": "GGA-PBE",
  "state": "relaxed",
  "spacegroup": "C2/m (12)",
  "n_ef_per_ev_atom": 0.87,
  "lattice_angstrom": [[-4.175, -2.976, 0.678], [-1.169, -4.987, -0.716], [1.124, -2.649, 6.248]],
  "species": ["Sr", "Br", "La", "Br"],
  "frac_coords": [[0.750, 0.750, 0.750], [0.505, 0.505, 0.490], [0.250, 0.250, 0.250], [0.995, 0.995, 0.010]]
}

=====

--- Q ---
{
  "formula": "SrLaBr2",
  "functional": "GGA-PBE",
  "state": "relaxed",
  "spacegroup": "Immm (71)",
  "n_ef_per_ev_atom": 0.88,
  "lattice_angstrom": [[6.478, -0.002, -0.003], [1.240, 6.358, 0.003], [-2.395, -4.957, 3.415]],
  "species": ["Br", "Br", "La", "Sr"],
  "frac_coords": [[0.992, 0.992, 0.000], [0.508, 0.508, 0.000], [0.750, 0.250, 0.500], [0.250, 0.750, 0.500]]
}

=====

--- R ---
{
  "formula": "SrLaBr2",
  "functional": "GGA-PBE",
  "state": "relaxed",
  "spacegroup": "Amm2 (38)",
  "n_ef_per_ev_atom": 0.78,
  "lattice_angstrom": [[10.348, 0.641, -0.008], [9.363, 4.459, -0.005], [0.002, -0.002, 3.952]],
  "species": ["Br", "Sr", "La", "Br"],
  "frac_coords": [[0.027, 0.026, 0.875], [0.795, 0.796, 0.875], [0.457, 0.457, 0.375], [0.220, 0.221, 0.375]]
}

=====

Ordering by calculated energy gives the sequence R, P, Q, with the first entry being the most stable.

=====

--- P ---
{
  "formula": "SrLaBr2",
  "functional": "GGA-PBE",
  "state": "relaxed",
  "spacegroup": "Pmmm (47)",
  "n_ef_per_ev_atom": 0.81,
  "lattice_angstrom": [[-0.702, 2.410, 2.967], [-4.773, -4.788, 2.760], [3.621, -2.122, 2.580]],
  "species": ["Sr", "Br", "Br", "La"],
  "frac_coords": [[0.000, 0.500, 0.500], [0.500, 0.500, 0.000], [0.000, 0.000, 0.000], [0.500, 0.000, 0.500]]
}

=====

--- Q ---
{
  "formula": "SrLaBr2",
  "functional": "GGA-PBE",
  "state": "relaxed",
  "spacegroup": "P4/mmm (123)",
  "n_ef_per_ev_atom": 0.65,
  "lattice_angstrom": [[3.787, 0.000, 0.000], [0.000, 3.787, 0.000], [0.000, 0.000, 10.333]],
  "species": ["Br", "La", "Br", "Sr"],
  "frac_coords": [[0.000, 0.000, 0.419], [0.500, 0.500, 0.250], [0.000, 0.000, 0.081], [0.500, 0.500, 0.750]]
}

=====

--- R ---
{
  "formula": "SrLaBr2",
  "functional": "GGA-PBE",
  "state": "relaxed",
  "spacegroup": "Imm2 (44)",
  "n_ef_per_ev_atom": 0.67,
  "lattice_angstrom": [[-2.616, -0.414, 7.327], [2.496, -3.344, 6.579], [1.462, 4.403, -6.258]],
  "species": ["La", "Br", "Sr", "Br"],
  "frac_coords": [[0.542, 0.542, 0.000], [0.958, 0.958, 0.000], [0.291, 0.791, 0.500], [0.710, 0.210, 0.500]]
}

=====

Ordering by calculated energy gives the sequence R, P, Q, with the first entry being the most stable.